Density functional theory data (PBE-GGA) for a relaxed Hf5CoBi2 crystal.

Cell and atoms, written as POSCAR:
```
Hf5CoBi2
1.0
-1.139 -2.008 4.287
-2.344 -4.338 -5.421
11.152 -6.137 0.089
Hf Bi Co
10 4 2
Cartesian
3.580 -6.264 -1.983
3.529 -3.597 -0.747
-1.607 -3.409 -2.024
4.089 -6.219 0.938
0.956 -4.852 0.746
6.713 -7.631 -1.791
7.011 -10.466 -0.275
0.658 -2.017 -0.770
4.140 -8.886 -0.298
9.276 -9.074 0.979
1.335 -7.620 -0.450
9.239 -6.462 -0.572
6.334 -4.864 -0.595
-1.570 -6.021 -0.473
1.303 -4.257 -1.648
6.366 -8.227 0.603
```

Energy relative to the lowest polymorph listed for this composition (eV/f.u.): 2.86
DFT total energy (eV per formula unit): -62.6
ΔE_f (eV per atom): 0.26
Total magnetization (μB per formula unit): 0.0

***

Density functional theory data (PBE-GGA) for a relaxed SrLaCl2 crystal.

Cell and atoms, written as POSCAR:
```
SrLaCl2
1.0
4.840 0.075 -0.034
3.319 3.524 -0.034
1.514 0.668 6.511
Sr Cl La
1 2 1
Cartesian
2.418 1.067 1.611
1.537 0.678 6.478
4.813 2.123 3.255
7.254 3.200 4.832
```

Energy relative to the lowest polymorph listed for this composition (eV/f.u.): 0.35
DFT total energy (eV per formula unit): -16.3
Total magnetization (μB per formula unit): 0.0
Formation energy from raw total energies (meV per atom): -1491

***

Density functional theory data (PBE-GGA) for a relaxed CaAc5Sn6 crystal.

Cell and atoms, written as POSCAR:
```
CaAc5Sn6
1.0
-4.131 3.129 1.351
-7.514 -3.614 6.587
0.447 1.006 9.632
Sn Ac Ca
6 5 1
Cartesian
-2.897 -0.101 1.966
-5.297 -1.016 7.366
-3.591 2.376 4.730
-7.607 -1.855 12.841
-5.902 1.537 10.205
-8.748 -0.384 5.972
-8.231 -1.147 9.297
-2.344 -0.861 5.425
-5.823 -0.243 3.969
-4.724 -1.747 10.795
-2.967 1.668 8.275
0.000 0.000 0.000
```

DFT total energy (eV per formula unit): -53.9
ΔE_f (eV per atom): -0.61
Total magnetization (μB per formula unit): 0.0

***

Density functional theory data (PBE-GGA) for a relaxed KTaAgBr6 crystal.

Cell and atoms, written as POSCAR:
```
KTaAgBr6
1.0
7.280 0.000 0.000
-3.640 6.304 0.000
0.000 0.000 13.917
Ag Br K Ta
2 12 2 2
Cartesian
0.000 4.203 3.479
3.640 2.101 10.438
-1.158 2.438 8.949
5.748 2.221 1.990
4.798 3.867 4.968
2.690 0.216 1.990
0.950 6.088 11.927
1.158 2.438 11.927
1.532 2.221 4.968
-0.950 6.088 8.949
-2.108 4.083 11.927
2.482 3.867 1.990
4.590 0.216 4.968
2.108 4.083 8.949
0.000 0.000 6.958
0.000 0.000 0.000
3.640 2.101 3.479
0.000 4.203 10.438
```

DFT total energy (eV per formula unit): -34.0
Total magnetization (μB per formula unit): 1.0
Formation energy from raw total energies (meV per atom): -907

***

Density functional theory data (PBE-GGA) for a relaxed LiTaBe17 crystal.

Cell and atoms, written as POSCAR:
```
LiTaBe17
1.0
5.528 0.025 0.680
0.605 5.495 0.680
0.028 0.025 5.569
Be Li Ta
17 1 1
Cartesian
5.714 1.671 4.812
4.110 1.671 6.238
4.514 5.507 2.809
2.093 3.912 6.238
4.849 1.926 2.727
0.081 0.073 2.776
5.950 3.912 2.809
5.554 4.999 6.248
2.424 4.620 2.727
0.612 0.550 0.688
0.361 2.724 0.406
2.261 5.507 4.812
4.016 3.615 1.759
3.728 0.890 4.194
2.747 0.073 0.406
1.276 3.615 4.194
2.140 1.926 5.135
4.027 3.624 4.530
2.071 1.864 2.330
```

DFT total energy (eV per formula unit): -78.8
ΔE_f (eV per atom): -0.09
Total magnetization (μB per formula unit): 0.0

***

Density functional theory data (PBE-GGA) for a relaxed Pa2TiIn crystal.

Cell and atoms, written as POSCAR:
```
Pa2TiIn
1.0
5.147 0.000 0.000
2.574 4.458 0.000
2.574 1.486 4.205
In Pa Ti
1 2 1
Cartesian
5.147 2.972 2.103
2.574 1.486 1.050
7.721 4.458 3.155
0.000 0.000 0.000
```

Energy relative to the lowest polymorph listed for this composition (eV/f.u.): 1.34
DFT total energy (eV per formula unit): -28.4
ΔE_f (eV per atom): 0.32
Total magnetization (μB per formula unit): 0.0

***

Density functional theory data (PBE-GGA) for a relaxed BaCrCl2 crystal.

Cell and atoms, written as POSCAR:
```
BaCrCl2
1.0
-5.008 -2.071 -0.308
-2.447 -1.862 4.473
-4.194 2.711 2.128
Cr Cl Ba
1 2 1
Cartesian
-8.737 -0.917 4.720
-2.912 -0.306 1.573
0.000 0.000 0.000
-5.825 -0.611 3.146
```

Energy relative to the lowest polymorph listed for this composition (eV/f.u.): 1.19
DFT total energy (eV per formula unit): -17.9
Total magnetization (μB per formula unit): 6.0
Formation energy from raw total energies (meV per atom): -668

***

Density functional theory data (PBE-GGA) for a relaxed U2Ga2Si4Ir crystal.

Cell and atoms, written as POSCAR:
```
U2Ga2Si4Ir
1.0
-2.415 -4.529 -3.088
5.884 1.026 -0.448
0.367 -0.404 5.965
Ga Si U Ir
2 4 2 1
Cartesian
4.427 0.440 3.907
1.825 0.182 1.610
1.909 -0.004 4.172
0.397 -2.358 -0.184
3.439 -1.549 2.613
4.342 0.626 1.345
3.297 -1.596 -0.388
0.539 -2.311 2.818
0.000 0.000 0.000
```

DFT total energy (eV per formula unit): -62.1
Total magnetization (μB per formula unit): 2.2
Formation energy from raw total energies (meV per atom): -324